[1]
Rb2ClO: relaxed, GGA-PBE.

```
data_Rb2ClO
_chemical_formula_sum 'Rb8 Cl4 O4'
_cell_length_a 6.870
_cell_length_b 6.870
_cell_length_c 13.876
_cell_angle_alpha 90.00
_cell_angle_beta 90.00
_cell_angle_gamma 90.00
_space_group_name_H-M_alt 'I -4 2 d'
_space_group_IT_number 122
_space_group_name_Hall 'I -4 2bw'
loop_
_atom_site_label
_atom_site_fract_x
_atom_site_fract_y
_atom_site_fract_z
_atom_site_occupancy
Rb1 0.196 0.250 0.125 1
Cl1 0.000 0.000 0.500 1
O1 0.000 0.000 0.000 1
```

Results
crystal system: tetragonal
size of the total moment: 1.00 μB per formula unit
distance to the lowest polymorph of the same formula: 0.0 meV/atom
formation energy (no corrections): -1.1504 eV per atom
final energy: -3.335 eV/atom

[2]
Rb8Cl5O: relaxed, GGA-PBE.

```
data_Rb8Cl5O
_chemical_formula_sum 'Rb32 Cl20 O4'
_cell_length_a 13.581
_cell_length_b 13.581
_cell_length_c 13.581
_cell_angle_alpha 90.00
_cell_angle_beta 90.00
_cell_angle_gamma 90.00
_space_group_name_H-M_alt 'F -4 3 m'
_space_group_IT_number 216
_space_group_name_Hall 'F -4 2 3'
loop_
_atom_site_label
_atom_site_fract_x
_atom_site_fract_y
_atom_site_fract_z
_atom_site_occupancy
Rb1 0.113 0.113 0.387 1
Rb2 0.116 0.116 0.884 1
Cl1 0.124 0.124 0.124 1
Cl2 0.250 0.250 0.750 1
O1 0.000 0.000 0.500 1
```

Results
crystal system: cubic
size of the total moment: 0.00 μB per formula unit
formation energy (no corrections): -1.5031 eV per atom
final energy: -3.070 eV/atom

[3]
Rb7ClO12: relaxed, GGA-PBE.

```
data_Rb7ClO12
_chemical_formula_sum 'Rb21 Cl3 O36'
_cell_length_a 14.6651
_cell_length_b 14.6651
_cell_length_c 6.7343
_cell_angle_alpha 90.00
_cell_angle_beta 90.00
_cell_angle_gamma 120.00
_space_group_name_H-M_alt 'R -3'
_space_group_IT_number 148
_space_group_name_Hall '-R 3'
loop_
_atom_site_label
_atom_site_fract_x
_atom_site_fract_y
_atom_site_fract_z
_atom_site_occupancy
Rb1 0.0000 0.0000 0.0000 1
Rb2 0.0456 0.2380 0.6680 1
Cl1 0.0000 0.0000 0.5000 1
O1 0.0003 0.2020 0.1066 1
O2 0.0641 0.4812 0.8861 1
```

Results
crystal system: trigonal
size of the total moment: 6.00 μB per formula unit
formation energy (no corrections): -0.9116 eV per atom
final energy: -4.317 eV/atom

[4]
Rb2ReCl6O: relaxed, GGA-PBE.

```
data_Rb2ReCl6O
_chemical_formula_sum 'Rb4 Re2 Cl12 O2'
_cell_length_a 7.798
_cell_length_b 7.798
_cell_length_c 9.077
_cell_angle_alpha 90.00
_cell_angle_beta 90.00
_cell_angle_gamma 90.00
_space_group_name_H-M_alt 'I 4/m m m'
_space_group_IT_number 139
_space_group_name_Hall '-I 4 2'
loop_
_atom_site_label
_atom_site_fract_x
_atom_site_fract_y
_atom_site_fract_z
_atom_site_occupancy
Rb1 0.000 0.500 0.250 1
Re1 0.000 0.000 0.000 1
Cl1 0.000 0.000 0.265 1
Cl2 0.216 0.216 0.000 1
O1 0.000 0.000 0.500 1
```

Results
crystal system: tetragonal
size of the total moment: 3.85 μB per formula unit
formation energy (no corrections): -0.8257 eV per atom
final energy: -3.868 eV/atom

[5]
Rb5ReCl2O4: relaxed, GGA-PBE.

```
data_Rb5ReCl2O4
_chemical_formula_sum 'Rb10 Re2 Cl4 O8'
_cell_length_a 8.816
_cell_length_b 10.457
_cell_length_c 7.116
_cell_angle_alpha 90.00
_cell_angle_beta 90.00
_cell_angle_gamma 90.00
_space_group_name_H-M_alt 'A m m 2'
_space_group_IT_number 38
loop_
_space_group_symop_operation_xyz
'x,y,z'
'-x,-y,z'
'-x,y,z'
'x,-y,z'
'x,y+1/2,z+1/2'
'-x,-y+1/2,z+1/2'
'-x,y+1/2,z+1/2'
'x,-y+1/2,z+1/2'
loop_
_atom_site_label
_atom_site_fract_x
_atom_site_fract_y
_atom_site_fract_z
_atom_site_occupancy
Rb1 0.000 0.000 0.000 1
Rb2 0.295 0.187 0.411 1
Re1 0.500 0.000 0.926 1
Cl1 0.000 0.207 0.671 1
O1 0.333 0.000 0.083 1
O2 0.500 0.129 0.739 1
```

Results
crystal system: orthorhombic
size of the total moment: 2.00 μB per formula unit
formation energy (no corrections): -1.6074 eV per atom
final energy: -5.008 eV/atom

[6]
Rb2RhCl2O2: relaxed, GGA-PBE.

```
data_Rb2RhCl2O2
_chemical_formula_sum 'Rb4 Rh2 Cl4 O4'
_cell_length_a 4.277
_cell_length_b 4.277
_cell_length_c 16.208
_cell_angle_alpha 90.00
_cell_angle_beta 90.00
_cell_angle_gamma 90.00
_space_group_name_H-M_alt 'I 4/m m m'
_space_group_IT_number 139
_space_group_name_Hall '-I 4 2'
loop_
_atom_site_label
_atom_site_fract_x
_atom_site_fract_y
_atom_site_fract_z
_atom_site_occupancy
Rb1 0.000 0.000 0.122 1
Rh1 0.000 0.000 0.500 1
Cl1 0.000 0.000 0.349 1
O1 0.000 0.500 0.000 1
```

Results
crystal system: tetragonal
size of the total moment: 1.56 μB per formula unit
formation energy (no corrections): -1.0457 eV per atom
final energy: -4.317 eV/atom

[7]
RbRhCl2O: relaxed, GGA-PBE.

```
data_RbRhCl2O
_chemical_formula_sum 'Rb1 Rh1 Cl2 O1'
_cell_length_a 5.299
_cell_length_b 5.299
_cell_length_c 3.771
_cell_angle_alpha 90.00
_cell_angle_beta 90.00
_cell_angle_gamma 90.00
_space_group_name_H-M_alt 'P 4/m m m'
_space_group_IT_number 123
_space_group_name_Hall '-P 4 2'
loop_
_atom_site_label
_atom_site_fract_x
_atom_site_fract_y
_atom_site_fract_z
_atom_site_occupancy
Rb1 0.000 0.000 0.000 1
Rh1 0.500 0.500 0.500 1
Cl1 0.000 0.500 0.500 1
O1 0.500 0.500 0.000 1
```

Results
crystal system: tetragonal
size of the total moment: 0.53 μB per formula unit
formation energy (no corrections): -0.9800 eV per atom
final energy: -4.374 eV/atom

[8]
Rb2RuCl4O2: relaxed, GGA-PBE.

```
data_Rb2RuCl4O2
_chemical_formula_sum 'Rb4 Ru2 Cl8 O4'
_cell_length_a 11.427
_cell_length_b 7.256
_cell_length_c 5.759
_cell_angle_alpha 90.00
_cell_angle_beta 98.76
_cell_angle_gamma 90.00
_space_group_name_H-M_alt 'C 1 2/m 1'
_space_group_IT_number 12
loop_
_space_group_symop_operation_xyz
'x,y,z'
'-x,-y,-z'
'-x,y,-z'
'x,-y,z'
'x+1/2,y+1/2,z'
'-x+1/2,-y+1/2,-z'
'-x+1/2,y+1/2,-z'
'x+1/2,-y+1/2,z'
loop_
_atom_site_label
_atom_site_fract_x
_atom_site_fract_y
_atom_site_fract_z
_atom_site_occupancy
Rb1 0.165 0.000 0.304 1
Ru1 0.000 0.500 0.000 1
Cl1 0.096 0.259 0.803 1
O1 0.119 0.500 0.228 1
```

Results
crystal system: monoclinic
size of the total moment: 0.00 μB per formula unit
formation energy (no corrections): -1.1926 eV per atom
final energy: -4.361 eV/atom